Material: LiGaAu
Method: DFT, PBE-GGA
State: optimized geometry

Lattice parameters (Å, degrees): 3.3803 3.3803 4.7987 110.62 110.62 90.00
Sites, in units of the cell vectors:
Li 0.6135 0.6135 0.2269
Au 0.9546 0.9546 0.9092
Ga 0.2819 0.2819 0.5638

Properties
SG	No. 107
formation energy	-0.434	eV per atom

***

Material: LiP2
Method: DFT, PBE-GGA
State: optimized geometry

Lattice parameters (Å, degrees): 5.1429 5.1429 7.3219 85.72 85.72 29.85
Sites, in units of the cell vectors:
P 0.8548 0.8548 0.8181
Li 0.4066 0.4066 0.1621
P 0.1127 0.1127 0.4801
P 0.1452 0.1452 0.1819
Li 0.5934 0.5934 0.8379
P 0.8873 0.8873 0.5199

Properties
SG	No. 12
formation energy	-0.144	eV per atom

***

Material: Li3TlCd4F12
Method: DFT, PBE-GGA
State: optimized geometry

Lattice parameters (Å, degrees): 7.1770 7.1770 7.1770 109.47 109.47 109.47
Sites, in units of the cell vectors:
Cd 0.5000 0.0000 0.0000
F 0.6762 0.1662 0.8424
F 0.8338 0.5101 0.6762
F 0.6762 0.8338 0.5101
F 0.1662 0.8424 0.6762
F 0.3238 0.1662 0.4899
Cd 0.0000 0.0000 0.5000
Cd 0.5000 0.5000 0.5000
Li 0.5000 0.5000 0.0000
F 0.1576 0.3238 0.8338
F 0.8338 0.1576 0.3238
F 0.8424 0.6762 0.1662
Cd 0.0000 0.5000 0.0000
Tl 0.0000 0.0000 0.0000
F 0.5101 0.6762 0.8338
F 0.4899 0.3238 0.1662
Li 0.0000 0.5000 0.5000
Li 0.5000 0.0000 0.5000
F 0.1662 0.4899 0.3238
F 0.3238 0.8338 0.1576

Properties
SG	No. 204
formation energy without anion corrections	-2.342	eV/atom

***

Material: Ce2Ni4Ge3Pd
Method: DFT, PBE-GGA
State: optimized geometry

Lattice parameters (Å, degrees): 3.9944 3.9944 10.4090 90.00 90.00 90.00
Sites, in units of the cell vectors:
Ge 0.5000 0.0000 0.8766
Ge 0.0000 0.0000 0.5000
Ni 0.5000 0.5000 0.0000
Ni 0.5000 0.0000 0.6509
Ni 0.0000 0.0000 0.0000
Ce 0.5000 0.0000 0.2529
Ge 0.0000 0.5000 0.1234
Ni 0.0000 0.5000 0.3491
Pd 0.5000 0.5000 0.5000
Ce 0.0000 0.5000 0.7471

Properties
SG	No. 115
formation energy	-0.625	eV per atom

***

Material: Ca2MgGa2Pt5
Method: DFT, PBE-GGA
State: optimized geometry

Lattice parameters (Å, degrees): 3.7444 9.8174 9.8174 90.00 90.00 90.00
Sites, in units of the cell vectors:
Pt 0.5000 0.7046 0.4347
Ca 0.0000 0.8254 0.6746
Pt 0.5000 0.5000 0.0000
Pt 0.5000 0.4347 0.2954
Ga 0.0000 0.8759 0.3759
Ca 0.0000 0.1746 0.3254
Ca 0.0000 0.6746 0.1746
Ca 0.0000 0.3254 0.8254
Pt 0.5000 0.0653 0.7954
Ga 0.0000 0.1241 0.6241
Pt 0.5000 0.5653 0.7046
Pt 0.5000 0.9347 0.2046
Pt 0.5000 0.2046 0.0653
Pt 0.5000 0.0000 0.5000
Ga 0.0000 0.3759 0.1241
Mg 0.0000 0.0000 0.0000
Pt 0.5000 0.2954 0.5653
Mg 0.0000 0.5000 0.5000
Pt 0.5000 0.7954 0.9347
Ga 0.0000 0.6241 0.8759

Properties
SG	No. 127
formation energy	-0.820	eV per atom

***

Material: Li3HoPu2S6
Method: DFT, PBE-GGA
State: optimized geometry

Lattice parameters (Å, degrees): 6.8260 6.8260 6.5401 100.02 100.02 119.99
Each line ends with the local moment (μB).
Sites, in units of the cell vectors:
Pu 0.3333 0.6667 0.0000  5.03
Li 0.1659 0.8341 0.5000  0.00
Ho 0.0000 0.0000 0.0000  0.06
Li 0.5000 0.5000 0.5000  0.00
S 0.4149 0.0837 0.2507  -0.07
S 0.2474 0.2474 0.7491  -0.07
S 0.0837 0.4149 0.2507  -0.07
S 0.5851 0.9163 0.7493  -0.07
Li 0.8341 0.1659 0.5000  0.00
S 0.7526 0.7526 0.2509  -0.07
Pu 0.6667 0.3333 0.0000  5.03
S 0.9163 0.5851 0.7493  -0.07

Properties
SG	No. 12
formation energy without anion corrections	-1.640	eV/atom

***

Material: CrMo2Os
Method: DFT, PBE-GGA
State: optimized geometry

Lattice parameters (Å, degrees): 3.0382 3.0382 6.2981 90.00 90.00 90.00
Sites, in units of the cell vectors:
Mo 0.0000 0.0000 0.9751
Cr 0.5000 0.5000 0.7650
Mo 0.5000 0.5000 0.2514
Os 0.0000 0.0000 0.5084

Properties
SG	No. 99
formation energy	0.138	eV per atom

***

Material: Tm2CuPd6
Method: DFT, PBE-GGA
State: optimized geometry

Lattice parameters (Å, degrees): 3.4288 7.5871 7.7683 119.23 102.67 90.00
Sites, in units of the cell vectors:
Tm 0.3504 0.3486 0.6971
Pd 0.5000 0.2454 0.0000
Pd 0.5000 0.7546 0.0000
Pd 0.1654 0.9617 0.3326
Pd 0.1654 0.3708 0.3326
Pd 0.8346 0.6292 0.6674
Cu 0.0000 0.0000 0.0000
Pd 0.8346 0.0383 0.6674
Tm 0.6496 0.6514 0.3029

Properties
SG	No. 12
formation energy	-0.418	eV per atom

***

no.,D(E_F) (states/eV/atom)
1,0.418
2,0.161
3,0.000
4,1.083
5,0.304
6,1.411
7,0.828
8,0.480